Here is a relaxed structure of BaLi2Sb from Alexandria. Energies are from PBE.

abc: 4.7878 4.7878 6.6749
angles: 68.99 68.99 60.01
Fractional coordinates of all 4 atoms:
Li  0.9456  0.9456  0.1626
Ba  0.7571  0.7571  0.7283
Li  0.2399  0.2399  0.2810
Sb  0.5574  0.5574  0.3281

Calculated values
Space group ... R3m
V ... 120.6 Å³/cell
Raw formation energy ... -2.54 eV per formula unit